DFT (PBE-GGA) results for a relaxed structure of BaSrGaI2.

## Properties
Energy relative to the elements, uncorrected in eV/atom: -0.6556
Density of states at the Fermi level in states/eV per cell: 4.5

The structure in POSCAR format:
```
BaSrGaI2
1.0
6.210 0.000 0.000
0.000 6.210 0.000
0.000 0.000 6.179
Ba Sr Ga I
1 1 1 2
Cartesian
0.000 0.000 0.000
3.105 3.105 3.089
3.105 3.105 0.000
0.000 3.105 3.089
3.105 0.000 3.089
```